Record 1
A plane-wave DFT calculation with meta-GGA SCAN was carried out for a PBEsol-optimized structure of InReGeH2.

a b c (Å): 3.744 3.744 4.873
angles (deg): 90.00 90.00 90.00
Atoms (fractional coordinates):
In 0.000 0.000 0.000
Re 0.500 0.500 0.500
Ge 0.500 0.500 0.000
H 0.000 0.500 0.500
H 0.500 0.000 0.500

Values from the calculation:
As for the crystal system: tetragonal. The value obtained for the total magnetization is 0.0 μB/f.u. The value obtained for the uncorrected energy is -127.4 eV for the cell shown.

Record 2
A plane-wave DFT calculation with meta-GGA SCAN was carried out for a PBEsol-optimized structure of InGeSbH2.

a b c (Å): 3.856 3.856 5.950
angles (deg): 90.00 90.00 90.00
Atoms (fractional coordinates):
In 0.000 0.000 0.000
Ge 0.000 0.000 0.500
Sb 0.500 0.500 0.500
H 0.000 0.500 0.000
H 0.500 0.000 0.000

Values from the calculation:
As for the crystal system: tetragonal. The value obtained for the total magnetization is 0.0 μB/f.u. The value obtained for the uncorrected energy is -94.8 eV for the cell shown.

Record 3
A plane-wave DFT calculation with meta-GGA SCAN was carried out for a PBEsol-optimized structure of GeH2Ir2.

a b c (Å): 5.521 5.521 3.315
angles (deg): 90.00 90.00 90.00
Atoms (fractional coordinates):
Ge 0.000 0.000 0.000
Ge 0.500 0.500 0.000
H 0.103 0.397 0.000
H 0.397 0.897 0.000
H 0.603 0.103 0.000
H 0.897 0.603 0.000
Ir 0.178 0.322 0.500
Ir 0.322 0.822 0.500
Ir 0.678 0.178 0.500
Ir 0.822 0.678 0.500

Values from the calculation:
As for the crystal system: tetragonal. The value obtained for the total magnetization is 0.0 μB/f.u. The value obtained for the uncorrected energy is -334.7 eV for the cell shown.

Record 4
A plane-wave DFT calculation with meta-GGA SCAN was carried out for a PBEsol-optimized structure of GeH2Ir.

a b c (Å): 3.743 3.743 3.743
angles (deg): 60.00 60.00 60.00
Atoms (fractional coordinates):
Ge 0.000 0.000 0.000
H 0.250 0.250 0.250
H 0.750 0.750 0.750
Ir 0.500 0.500 0.500

Values from the calculation:
As for the crystal system: cubic. The value obtained for the total magnetization is 0.0 μB/f.u. The value obtained for the uncorrected energy is -93.2 eV for the cell shown.

Record 5
A plane-wave DFT calculation with meta-GGA SCAN was carried out for a PBEsol-optimized structure of NiGe2HIr.

a b c (Å): 4.367 4.367 3.067
angles (deg): 90.00 90.00 90.00
Atoms (fractional coordinates):
Ni 0.000 0.000 0.000
Ge 0.000 0.500 0.500
Ge 0.500 0.000 0.500
H 0.000 0.000 0.500
Ir 0.500 0.500 0.000

Values from the calculation:
As for the crystal system: tetragonal. The value obtained for the total magnetization is 0.0 μB/f.u. The value obtained for the uncorrected energy is -127.9 eV for the cell shown.

Record 6
A plane-wave DFT calculation with meta-GGA SCAN was carried out for a PBEsol-optimized structure of KGe3H.

a b c (Å): 4.465 4.465 4.465
angles (deg): 90.00 90.00 90.00
Atoms (fractional coordinates):
K 0.000 0.000 0.000
Ge 0.000 0.500 0.500
Ge 0.500 0.000 0.500
Ge 0.500 0.500 0.000
H 0.500 0.500 0.500

Values from the calculation:
As for the crystal system: cubic. The value obtained for the total magnetization is 0.0 μB/f.u. The value obtained for the uncorrected energy is -66.5 eV for the cell shown.